Record 1
Material: MnGaSiRhSe
Method: DFT, PBE-GGA
State: relaxed

```
MnGaSiRhSe
1.0
6.951 0.000 -0.165
0.000 2.989 0.000
-2.934 0.000 8.007
Si Ga Rh Mn Se
2 2 2 2 2
Direct
0.751 0.500 0.762 Si
0.751 0.000 0.262 Si
0.083 0.000 0.627 Ga
0.083 0.500 0.127 Ga
0.776 0.000 0.986 Rh
0.776 0.500 0.486 Rh
0.400 0.500 0.777 Mn
0.400 0.000 0.277 Mn
0.399 0.500 0.488 Se
0.399 0.000 0.988 Se
```

Results
- Offset from the most stable computed form: 0.055 eV per atom
- Spin magnetization: 0.314 μB/atom
- Electronic total energy: -5.915 eV/atom
- Space group: Cm
- Formation energy (no corrections): -0.223 eV per atom

Record 2
Material: RbTa2AlCl
Method: DFT, PBE-GGA
State: relaxed

```
RbTa2AlCl
1.0
-1.333 0.816 4.382
5.170 -1.782 1.904
1.617 4.351 -0.318
Ta Cl Rb Al
2 1 1 1
Direct
0.500 0.000 0.000 Ta
0.000 0.000 0.500 Ta
0.000 0.000 0.000 Cl
0.500 0.500 0.500 Rb
0.000 0.500 0.000 Al
```

Results
- Spin magnetization: 0.000 μB/atom
- Electronic total energy: -4.745 eV/atom
- Space group: P4/mmm
- Formation energy (no corrections): 1.308 eV per atom

Record 3
Material: CaPaVN4
Method: DFT, PBE-GGA
State: relaxed

```
CaPaVN4
1.0
5.824 0.000 0.128
0.000 5.600 0.000
-2.139 0.000 6.454
N Ca V Pa
8 2 2 2
Direct
0.035 0.994 0.293 N
0.537 0.250 0.835 N
0.965 0.494 0.707 N
0.447 0.750 0.560 N
0.965 0.006 0.707 N
0.035 0.506 0.293 N
0.553 0.250 0.440 N
0.463 0.750 0.165 N
0.688 0.750 0.916 Ca
0.312 0.250 0.084 Ca
0.241 0.750 0.308 V
0.759 0.250 0.692 V
0.782 0.750 0.444 Pa
0.218 0.250 0.556 Pa
```

Results
- Spin magnetization: 0.000 μB/atom
- Electronic total energy: -8.889 eV/atom
- Space group: P2_1/m
- Formation energy (no corrections): -1.187 eV per atom

Record 4
Material: ScPb3
Method: DFT, PBE-GGA
State: relaxed

```
ScPb3
1.0
-3.454 -0.184 10.605
-1.444 -3.049 10.633
-0.009 0.101 11.155
Pb Sc
3 1
Direct
0.257 0.257 0.257 Pb
0.743 0.743 0.743 Pb
0.500 0.500 0.500 Pb
0.000 0.000 0.000 Sc
```

Results
- Spin magnetization: 0.000 μB/atom
- Electronic total energy: -4.371 eV/atom
- Energy relative to the elements: -3 kJ/mol of formula units
- Space group: R-3m

Record 5
Material: Ho7Al2Ni2
Method: DFT, PBE-GGA
State: relaxed

```
Ho7Al2Ni2
1.0
6.612 -0.002 -0.902
0.002 6.802 0.004
-1.312 -0.003 6.543
Ho Al Ni
7 2 2
Direct
0.500 0.747 0.000 Ho
0.500 0.247 0.500 Ho
0.000 0.747 0.500 Ho
0.500 0.753 0.500 Ho
0.000 0.000 0.000 Ho
0.000 0.253 0.500 Ho
0.500 0.253 0.000 Ho
0.833 0.500 0.833 Al
0.167 0.500 0.167 Al
0.705 0.000 0.295 Ni
0.295 0.000 0.705 Ni
```

Results
- Spin magnetization: 0.000 μB/atom
- Electronic total energy: -4.831 eV/atom
- Energy relative to the elements: -198 kJ/mol of formula units
- Space group: Cmmm

Record 6
Material: ErTm2Rh9
Method: DFT, PBE-GGA
State: relaxed

```
ErTm2Rh9
1.0
-1.395 -4.789 1.574
3.668 -3.561 1.107
0.870 -0.082 9.209
Tm Er Rh
2 1 9
Direct
0.139 0.139 0.583 Tm
0.861 0.861 0.417 Tm
0.000 0.000 0.000 Er
0.500 0.500 0.500 Rh
0.082 0.584 0.751 Rh
0.584 0.082 0.751 Rh
0.584 0.584 0.751 Rh
0.416 0.416 0.249 Rh
0.333 0.333 0.000 Rh
0.918 0.416 0.249 Rh
0.667 0.667 0.000 Rh
0.416 0.918 0.249 Rh
```

Results
- Spin magnetization: 0.000 μB/atom
- Electronic total energy: -7.220 eV/atom
- Energy relative to the elements: -673 kJ/mol of formula units
- Space group: R-3m

Record 7
Material: Nd7Tm4Sc
Method: DFT, PBE-GGA
State: relaxed

```
Nd7Tm4Sc
1.0
-1.272 -1.116 5.662
-4.993 -8.317 0.323
4.035 -7.123 2.586
Nd Sc Tm
7 1 4
Direct
0.208 0.123 0.460 Nd
0.204 0.776 0.816 Nd
0.081 0.563 0.275 Nd
0.792 0.877 0.540 Nd
0.919 0.437 0.725 Nd
0.796 0.224 0.184 Nd
0.500 0.000 0.000 Nd
0.000 0.000 0.000 Sc
0.326 0.395 0.953 Tm
0.573 0.305 0.550 Tm
0.427 0.695 0.450 Tm
0.674 0.605 0.047 Tm
```

Results
- Offset from the most stable computed form: 0.196 eV per atom
- Spin magnetization: 0.012 μB/atom
- Electronic total energy: -4.585 eV/atom
- Energy relative to the elements: 249 kJ/mol of formula units
- Space group: C2/m

Record 8
Material: La2RuCl
Method: DFT, PBE-GGA
State: relaxed

```
La2RuCl
1.0
-3.606 -2.113 -3.235
3.484 0.358 -3.959
0.206 -2.785 4.488
Cl Ru La
1 1 2
Direct
0.250 0.750 0.500 Cl
0.750 0.250 0.500 Ru
0.515 0.515 0.000 La
0.985 0.985 0.000 La
```

Results
- Offset from the most stable computed form: 0.274 eV per atom
- Spin magnetization: 0.000 μB/atom
- Electronic total energy: -5.979 eV/atom
- Space group: Immm
- Formation energy (no corrections): -0.735 eV per atom

Record 9
Material: FeCoCBr
Method: DFT, PBE-GGA
State: relaxed

```
FeCoCBr
1.0
3.128 0.000 0.000
-1.564 2.709 0.000
0.000 0.000 6.055
Co Br Fe C
1 1 1 1
Direct
0.667 0.333 0.817 Co
0.000 0.000 0.141 Br
0.000 0.000 0.537 Fe
0.333 0.667 0.668 C
```

Results
- Offset from the most stable computed form: 0.031 eV per atom
- Spin magnetization: 0.469 μB/atom
- Electronic total energy: -6.295 eV/atom
- Space group: P3m1
- Formation energy (no corrections): 0.321 eV per atom

Record 10
Material: Cs2BrNCl6
Method: DFT, PBE-GGA
State: relaxed

```
Cs2BrNCl6
1.0
-5.814 -2.421 4.153
-0.759 -5.973 -4.545
-0.185 -6.758 2.652
N Cs Br Cl
1 2 1 6
Direct
0.500 0.500 0.000 N
0.250 0.750 0.500 Cs
0.750 0.250 0.500 Cs
0.000 0.000 0.000 Br
0.250 0.250 0.500 Cl
0.291 0.291 0.000 Cl
0.750 0.750 0.500 Cl
0.709 0.709 0.000 Cl
0.709 0.291 0.000 Cl
0.291 0.709 0.000 Cl
```

Results
- Spin magnetization: 0.000 μB/atom
- Electronic total energy: -2.625 eV/atom
- Space group: I4/mmm
- Formation energy (no corrections): -0.347 eV per atom

Record 11
Material: Ac2DySn3Ir4
Method: DFT, PBE-GGA
State: relaxed

```
Ac2DySn3Ir4
1.0
-1.958 -0.008 4.040
-0.146 -4.486 -0.080
10.497 -0.431 5.088
Ir Ac Sn Dy
4 2 3 1
Direct
0.000 0.000 0.000 Ir
0.500 0.000 0.647 Ir
0.000 0.500 0.353 Ir
0.500 0.500 0.000 Ir
0.000 0.500 0.762 Ac
0.500 0.000 0.238 Ac
0.000 0.000 0.500 Sn
0.000 0.500 0.124 Sn
0.500 0.000 0.876 Sn
0.500 0.500 0.500 Dy
```

Results
- Spin magnetization: 0.000 μB/atom
- Electronic total energy: -6.681 eV/atom
- Energy relative to the elements: -631 kJ/mol of formula units
- Space group: P-4m2

Record 12
Material: La2Fe2Rh
Method: DFT, PBE-GGA
State: relaxed

```
La2Fe2Rh
1.0
-2.411 -4.152 -2.774
4.879 -1.302 -2.292
1.924 -4.957 0.204
Fe La Rh
2 2 1
Direct
0.655 0.655 0.691 Fe
0.345 0.345 0.309 Fe
0.250 0.750 0.500 La
0.750 0.250 0.500 La
0.000 0.000 0.000 Rh
```

Results
- Offset from the most stable computed form: 0.275 eV per atom
- Spin magnetization: 0.767 μB/atom
- Electronic total energy: -6.588 eV/atom
- Energy relative to the elements: 115 kJ/mol of formula units
- Space group: I4/mmm

Which formula does entry 12 have? La2Fe2Rh